Record 1
Below is TlCd3Cl after structural relaxation, with properties calculated at the GGA-PBE level.

Lattice parameters (Å, degrees): 5.645 5.645 5.645 90.00 90.00 90.00
Atoms (fractional coordinates):
Tl: 0.000 0.000 0.000
Cd: 0.000 0.500 0.500
Cd: 0.500 0.000 0.500
Cd: 0.500 0.500 0.000
Cl: 0.500 0.500 0.500

Calculated density in Mg/m³: 5.33
VASP energy in eV/atom: -1.179
Energy above the lowest structure with this stoichiometry in meV per atom: 169.4
Crystal system: cubic
V in Å³ per cell: 179.9
Uncorrected formation energy in meV/atom: 213

---

Record 2
Below is YBrCl after structural relaxation, with properties calculated at the GGA-PBE level.

Lattice parameters (Å, degrees): 4.856 4.856 4.856 60.00 60.00 60.00
Atoms (fractional coordinates):
Y: 0.000 0.000 0.000
Br: 0.750 0.750 0.750
Cl: 0.250 0.250 0.250

Calculated density in Mg/m³: 4.19
VASP energy in eV/atom: -4.850
Crystal system: cubic
V in Å³ per cell: 81.0
Uncorrected formation energy in meV/atom: -1522

---

Record 3
Below is Hf2ScNbNi after structural relaxation, with properties calculated at the GGA-PBE level.

Lattice parameters (Å, degrees): 5.051 5.051 4.630 90.00 90.00 90.00
Atoms (fractional coordinates):
Hf: 0.000 0.500 0.000
Hf: 0.500 0.000 0.000
Sc: 0.000 0.000 0.500
Nb: 0.500 0.500 0.000
Ni: 0.500 0.500 0.500

Calculated density in Mg/m³: 7.78
VASP energy in eV/atom: -7.565
Crystal system: tetragonal
V in Å³ per cell: 118.1

---

Record 4
Below is Tb5Sn2Te after structural relaxation, with properties calculated at the GGA-PBE level.

Lattice parameters (Å, degrees): 5.557 5.557 17.450 90.00 90.00 117.66
Atoms (fractional coordinates):
Tb: 0.085 0.915 0.584
Tb: 0.085 0.915 0.916
Tb: 0.184 0.816 0.250
Tb: 0.414 0.586 0.592
Tb: 0.414 0.586 0.908
Tb: 0.586 0.414 0.092
Tb: 0.586 0.414 0.408
Tb: 0.816 0.184 0.750
Tb: 0.915 0.085 0.084
Tb: 0.915 0.085 0.416
Sn: 0.253 0.747 0.075
Sn: 0.253 0.747 0.425
Sn: 0.747 0.253 0.575
Sn: 0.747 0.253 0.925
Te: 0.192 0.808 0.750
Te: 0.808 0.192 0.250

Calculated density in Mg/m³: 8.07
VASP energy in eV/atom: -4.807
Crystal system: orthorhombic
V in Å³ per cell: 477.3
Uncorrected formation energy in meV/atom: -520

---

Record 5
Below is Ho6ErIn3 after structural relaxation, with properties calculated at the GGA-PBE level.

Lattice parameters (Å, degrees): 10.043 5.167 11.318 90.00 102.87 90.00
Atoms (fractional coordinates):
Ho: 0.061 0.250 0.409
Ho: 0.152 0.750 0.184
Ho: 0.232 0.250 0.992
Ho: 0.309 0.750 0.785
Ho: 0.379 0.250 0.299
Ho: 0.393 0.250 0.605
Ho: 0.607 0.750 0.395
Ho: 0.621 0.750 0.701
Ho: 0.691 0.250 0.215
Ho: 0.768 0.750 0.008
Ho: 0.848 0.250 0.816
Ho: 0.939 0.750 0.591
Er: 0.460 0.750 0.096
Er: 0.540 0.250 0.904
In: 0.036 0.750 0.889
In: 0.117 0.250 0.702
In: 0.281 0.750 0.466
In: 0.719 0.250 0.534
In: 0.883 0.750 0.298
In: 0.964 0.250 0.111

Calculated density in Mg/m³: 8.71
VASP energy in eV/atom: -4.288
Energy above the lowest structure with this stoichiometry in meV per atom: 0.0
Crystal system: monoclinic
V in Å³ per cell: 572.6

---

Record 6
Below is La2ReAg after structural relaxation, with properties calculated at the GGA-PBE level.

Lattice parameters (Å, degrees): 4.351 4.351 8.164 98.06 98.06 46.05
Atoms (fractional coordinates):
La: 0.243 0.243 0.211
La: 0.757 0.757 0.789
Re: 0.500 0.500 0.000
Ag: 0.000 0.000 0.500

Calculated density in Mg/m³: 8.64
VASP energy in eV/atom: -5.984
Energy above the lowest structure with this stoichiometry in meV per atom: 248.4
Crystal system: monoclinic
V in Å³ per cell: 110.0

---

Record 7
Below is Tb2NdPuAs4 after structural relaxation, with properties calculated at the GGA-PBE level.

Lattice parameters (Å, degrees): 7.217 4.178 7.223 90.00 109.47 90.00
Atoms (fractional coordinates):
Tb: 0.000 0.000 0.000
Tb: 0.000 0.500 0.500
Nd: 0.500 0.000 0.500
Pu: 0.500 0.500 0.000
As: 0.245 0.500 0.243
As: 0.249 0.000 0.755
As: 0.751 0.000 0.245
As: 0.755 0.500 0.757

Calculated density in Mg/m³: 8.13
VASP energy in eV/atom: -7.260
Crystal system: monoclinic
V in Å³ per cell: 205.3

---

Record 8
Below is Ta2MoP2 after structural relaxation, with properties calculated at the GGA-PBE level.

Lattice parameters (Å, degrees): 6.653 6.653 3.390 90.00 90.00 90.00
Atoms (fractional coordinates):
Ta: 0.154 0.346 0.000
Ta: 0.346 0.846 0.000
Ta: 0.654 0.154 0.000
Ta: 0.846 0.654 0.000
Mo: 0.000 0.000 0.500
Mo: 0.500 0.500 0.500
P: 0.146 0.646 0.500
P: 0.354 0.146 0.500
P: 0.646 0.854 0.500
P: 0.854 0.354 0.500

Calculated density in Mg/m³: 11.50
VASP energy in eV/atom: -9.608
Energy above the lowest structure with this stoichiometry in meV per atom: 0.0
Crystal system: tetragonal
V in Å³ per cell: 150.1

---

Record 9
Below is LiMgSc2 after structural relaxation, with properties calculated at the GGA-PBE level.

Lattice parameters (Å, degrees): 3.408 3.408 7.622 90.00 90.00 90.00
Atoms (fractional coordinates):
Li: 0.000 0.000 0.000
Mg: 0.000 0.000 0.500
Sc: 0.500 0.500 0.228
Sc: 0.500 0.500 0.772

Calculated density in Mg/m³: 2.27
VASP energy in eV/atom: -3.955
Crystal system: tetragonal
V in Å³ per cell: 88.5

---

Record 10
Below is ZrGa2Pt after structural relaxation, with properties calculated at the GGA-PBE level.

Lattice parameters (Å, degrees): 6.681 4.105 9.986 90.00 90.00 90.00
Atoms (fractional coordinates):
Zr: 0.245 0.250 0.182
Zr: 0.255 0.750 0.682
Zr: 0.745 0.250 0.318
Zr: 0.755 0.750 0.818
Ga: 0.047 0.750 0.337
Ga: 0.217 0.250 0.472
Ga: 0.283 0.750 0.972
Ga: 0.453 0.250 0.837
Ga: 0.547 0.750 0.163
Ga: 0.717 0.250 0.028
Ga: 0.783 0.750 0.528
Ga: 0.953 0.250 0.663
Pt: 0.075 0.250 0.905
Pt: 0.425 0.750 0.405
Pt: 0.575 0.250 0.595
Pt: 0.925 0.750 0.095

Calculated density in Mg/m³: 10.33
VASP energy in eV/atom: -5.926
Crystal system: orthorhombic
V in Å³ per cell: 273.9

---

Record 11
Below is AlCN3 after structural relaxation, with properties calculated at the GGA-PBE level.

Lattice parameters (Å, degrees): 3.315 3.315 3.315 90.00 90.00 90.00
Atoms (fractional coordinates):
Al: 0.000 0.000 0.000
C: 0.500 0.500 0.500
N: 0.000 0.500 0.500
N: 0.500 0.000 0.500
N: 0.500 0.500 0.000

Calculated density in Mg/m³: 3.69
VASP energy in eV/atom: -5.601
Crystal system: cubic
V in Å³ per cell: 36.4
Uncorrected formation energy in meV/atom: 1987

---

Record 12
Below is YMg3Pd after structural relaxation, with properties calculated at the GGA-PBE level.

Lattice parameters (Å, degrees): 9.924 9.924 9.924 148.06 148.06 45.79
Atoms (fractional coordinates):
Y: 0.207 0.207 0.000
Y: 0.793 0.793 0.000
Mg: 0.373 0.621 0.752
Mg: 0.379 0.131 0.752
Mg: 0.379 0.627 0.248
Mg: 0.540 0.040 0.500
Mg: 0.869 0.621 0.248
Mg: 0.960 0.460 0.500
Pd: 0.250 0.750 0.500
Pd: 0.500 0.500 0.000

Calculated density in Mg/m³: 3.27
VASP energy in eV/atom: -3.422
Energy above the lowest structure with this stoichiometry in meV per atom: 267.1
Crystal system: tetragonal
V in Å³ per cell: 272.6